1.
An optimized crystal structure of Tb2SbS5. Source: Alexandria, functional PBE-GGA.

- ΔE to the lowest computed polymorph (meV per atom) = 62
- total moment (μB per atom) = 0.0000
- raw total energy (eV per atom) = -5.521
- E_form (uncorrected) (meV/atom) = -1269

abc: 5.2859 7.2014 12.9944
angles: 90.00 90.00 111.53
Fractional coordinates of all 16 atoms:
1 Tb 0.8451 0.6903 0.4332
2 Tb 0.8451 0.6903 0.0668
3 Tb 0.1549 0.3097 0.5668
4 Tb 0.1549 0.3097 0.9332
5 Sb 0.8298 0.6595 0.7500
6 Sb 0.1703 0.3405 0.2500
7 S 0.9561 0.9123 0.8921
8 S 0.9561 0.9123 0.6079
9 S 0.3012 0.6024 0.4148
10 S 0.3012 0.6024 0.0852
11 S 0.7277 0.4555 0.2500
12 S 0.2723 0.5445 0.7500
13 S 0.6988 0.3976 0.5852
14 S 0.6988 0.3976 0.9148
15 S 0.0439 0.0877 0.1079
16 S 0.0439 0.0877 0.3921

2.
An optimized crystal structure of Tb5SbS4. Source: Alexandria, functional PBE-GGA.

- total moment (μB per atom) = 0.0000
- raw total energy (eV per atom) = -6.178
- E_form (uncorrected) (meV/atom) = -1800

abc: 4.0149 6.9781 9.0246
angles: 75.08 77.15 73.28
Fractional coordinates of all 10 atoms:
1 Tb 0.2068 0.9027 0.6836
2 Tb 0.7932 0.0973 0.3164
3 Tb 0.3914 0.3302 0.8870
4 Tb 0.0000 0.5000 0.5000
5 Tb 0.6086 0.6698 0.1130
6 Sb 0.0000 0.0000 0.0000
7 S 0.5945 0.2082 0.6028
8 S 0.2040 0.3844 0.2075
9 S 0.7960 0.6156 0.7925
10 S 0.4055 0.7918 0.3972

3.
An optimized crystal structure of Tb2SbS4. Source: Alexandria, functional PBE-GGA.

- total moment (μB per atom) = 0.0000
- raw total energy (eV per atom) = -5.641
- E_form (uncorrected) (meV/atom) = -1370

abc: 3.8877 6.9992 7.8189
angles: 112.66 104.40 90.00
Fractional coordinates of all 7 atoms:
1 Tb 0.7344 0.7383 0.4689
2 Tb 0.2656 0.2617 0.5311
3 Sb 0.0000 0.0000 0.0000
4 S 0.8647 0.1594 0.7294
5 S 0.1353 0.8406 0.2706
6 S 0.6466 0.3127 0.2931
7 S 0.3534 0.6873 0.7069

4.
An optimized crystal structure of Tb3Sb2S. Source: Alexandria, functional PBE-GGA.

- ΔE to the lowest computed polymorph (meV per atom) = 102
- total moment (μB per atom) = 0.0000
- raw total energy (eV per atom) = -5.675
- E_form (uncorrected) (meV/atom) = -1298

abc: 7.2398 7.3596 7.3596
angles: 120.38 90.00 90.00
Fractional coordinates of all 12 atoms:
1 Tb 0.4697 0.1532 0.8466
2 Tb 0.9697 0.1534 0.8468
3 Tb 0.4693 0.4995 0.4995
4 Tb 0.9693 0.5005 0.5005
5 Tb 0.9697 0.8468 0.1534
6 Tb 0.4697 0.8466 0.1532
7 Sb 0.7197 0.1676 0.5109
8 Sb 0.2197 0.4891 0.8324
9 Sb 0.2197 0.8324 0.4891
10 Sb 0.7197 0.5109 0.1676
11 S 0.7197 0.8310 0.8310
12 S 0.2197 0.1690 0.1690

5.
An optimized crystal structure of Tb3SbS2. Source: Alexandria, functional PBE-GGA.

- ΔE to the lowest computed polymorph (meV per atom) = 196
- total moment (μB per atom) = 0.0000
- raw total energy (eV per atom) = -5.494
- E_form (uncorrected) (meV/atom) = -1116

abc: 6.7580 7.5191 7.5191
angles: 88.64 90.00 90.00
Fractional coordinates of all 12 atoms:
1 Tb 0.7500 0.0959 0.9041
2 Tb 0.7500 0.2546 0.4299
3 Tb 0.2500 0.4299 0.2546
4 Tb 0.7500 0.5701 0.7454
5 Tb 0.2500 0.7454 0.5701
6 Tb 0.2500 0.9041 0.0959
7 Sb 0.2500 0.3467 0.6533
8 Sb 0.7500 0.6533 0.3467
9 S 0.0000 0.1702 0.1702
10 S 0.5000 0.1702 0.1702
11 S 0.0000 0.8298 0.8298
12 S 0.5000 0.8298 0.8298

6.
An optimized crystal structure of TbSbS3. Source: Alexandria, functional PBE-GGA.

- ΔE to the lowest computed polymorph (meV per atom) = 136
- total moment (μB per atom) = 0.0000
- raw total energy (eV per atom) = -5.223
- E_form (uncorrected) (meV/atom) = -996

abc: 6.9855 6.8283 6.8283
angles: 120.00 90.00 90.00
Fractional coordinates of all 10 atoms:
1 Tb 0.0000 0.0000 0.0000
2 Tb 0.5000 0.0000 0.0000
3 Sb 0.5000 0.6667 0.3333
4 Sb 0.0000 0.6667 0.3333
5 S 0.7500 0.3320 0.2944
6 S 0.7500 0.9624 0.6680
7 S 0.7500 0.7056 0.0376
8 S 0.2500 0.7056 0.6680
9 S 0.2500 0.3320 0.0376
10 S 0.2500 0.9624 0.2944

7.
An optimized crystal structure of TbSbS3. Source: Alexandria, functional PBE-GGA.

- ΔE to the lowest computed polymorph (meV per atom) = 0
- total moment (μB per atom) = 0.0000
- raw total energy (eV per atom) = -5.359
- E_form (uncorrected) (meV/atom) = -1132

abc: 3.9644 7.0938 9.7670
angles: 89.19 90.00 90.00
Fractional coordinates of all 10 atoms:
1 Tb 0.2500 0.9239 0.1784
2 Tb 0.7500 0.0761 0.8216
3 Sb 0.2500 0.5892 0.8126
4 Sb 0.7500 0.4108 0.1874
5 S 0.2500 0.2205 0.9914
6 S 0.7500 0.7795 0.0086
7 S 0.2500 0.5721 0.3163
8 S 0.7500 0.4279 0.6837
9 S 0.2500 0.8970 0.6805
10 S 0.7500 0.1030 0.3195

8.
An optimized crystal structure of Tb3SbS2. Source: Alexandria, functional PBE-GGA.

- ΔE to the lowest computed polymorph (meV per atom) = 0
- total moment (μB per atom) = 0.0000
- raw total energy (eV per atom) = -5.690
- E_form (uncorrected) (meV/atom) = -1312

abc: 8.7107 7.8091 7.8091
angles: 54.93 56.10 56.10
Fractional coordinates of all 12 atoms:
1 Tb 0.0000 0.7290 0.2710
2 Tb 0.0000 0.2710 0.7290
3 Tb 0.5000 0.7710 0.2290
4 Tb 0.5000 0.0000 0.5000
5 Tb 0.5000 0.5000 0.0000
6 Tb 0.5000 0.2290 0.7710
7 Sb 0.1860 0.2500 0.2500
8 Sb 0.8140 0.7500 0.7500
9 S 0.2638 0.9434 0.9434
10 S 0.3494 0.4434 0.4434
11 S 0.6506 0.5566 0.5566
12 S 0.7362 0.0566 0.0566